This record from Alexandria via LeMat-Bulk describes a relaxed structure of DyZr2Sc. The functional is PBE.

Results
For the formation energy, the calculation gives 58 meV/atom. Its volume is 100.9 Å³/f.u. The calculation puts the uncorrected energy at -55.6 eV/cell.

Lattice parameters (Å, degrees): 4.5821 4.6907 9.3895 90.00 90.06 90.00
With the nearest neighbours (Å) after each atom.
Space group P2_1/m (No. 11)
Inequivalent atoms, fractional coordinates:
Dy 0.0001 0.2500 0.1360  4 Zr 3.27-3.28, 6 Sc 3.28-3.48, 2 Dy 3.47
Zr 0.0000 0.2500 0.6193  8 Zr 3.17-3.28, 2 Sc 3.20, 2 Dy 3.28
Zr 0.4996 0.2500 0.3852  8 Zr 3.17-3.28, 2 Sc 3.26, 2 Dy 3.27-3.28
Sc 0.5001 0.2500 0.8567  4 Zr 3.20-3.26, 6 Dy 3.28-3.48, 2 Sc 3.57